Entry 1:
First-principles (PBE-GGA) data for UCo2W after structural relaxation, as listed in Alexandria via LeMat-Bulk.

Computed properties:
Volume = 61.1 Å³/cell
M_tot = 0.00 μB per cell
Calculated formation energy = 1.8 eV per formula unit
Total energy = -9.1567 eV/atom

Cell lengths 8.6380, 8.6380, 8.6380 Å; angles 19.22, 19.22, 19.22 degrees
Sites, in units of the cell vectors:
U1 0.0000 0.0000 0.0000
Co1 0.0886 0.0886 0.0886
Co2 0.9114 0.9114 0.9114
W1 0.5000 0.5000 0.5000

***

Entry 2:
First-principles (PBE-GGA) data for Rb3FeMo after structural relaxation, as listed in Alexandria via LeMat-Bulk.

Computed properties:
Volume = 360.9 Å³/cell
M_tot = 9.06 μB per cell
Calculated formation energy = 9.1 eV per formula unit
Total energy = -2.6097 eV/atom

Cell lengths 7.1194, 7.1194, 7.1194 Å; angles 90.00, 90.00, 90.00 degrees
Sites, in units of the cell vectors:
Rb1 0.0000 0.0000 0.5000
Rb2 0.0000 0.5000 0.0000
Rb3 0.5000 0.0000 0.0000
Fe1 0.5000 0.5000 0.5000
Mo1 0.0000 0.0000 0.0000

***

Entry 3:
First-principles (PBE-GGA) data for HoErTm2 after structural relaxation, as listed in Alexandria via LeMat-Bulk.

Computed properties:
Relative energy among the computed polymorphs = 0.65 kcal/mol of atoms
Volume = 120.7 Å³/cell
M_tot = 0.00 μB per cell
Calculated formation energy = 0.1 eV per formula unit
Total energy = -4.4958 eV/atom

Cell lengths 3.4939, 3.4939, 9.8890 Å; angles 90.00, 90.00, 90.00 degrees
Sites, in units of the cell vectors:
Ho1 0.0000 0.0000 0.0000
Er1 0.0000 0.0000 0.5000
Tm1 0.5000 0.5000 0.2505
Tm2 0.5000 0.5000 0.7495

***

Entry 4:
First-principles (PBE-GGA) data for ZrReHg3 after structural relaxation, as listed in Alexandria via LeMat-Bulk.

Computed properties:
Relative energy among the computed polymorphs = 0.00 kcal/mol of atoms
Volume = 135.2 Å³/cell
M_tot = 0.87 μB per cell
Calculated formation energy = 6.1 eV per formula unit
Total energy = -3.1521 eV/atom

Cell lengths 5.1323, 5.1323, 5.1323 Å; angles 90.00, 90.00, 90.00 degrees
Sites, in units of the cell vectors:
Zr1 0.0000 0.0000 0.0000
Re1 0.5000 0.5000 0.5000
Hg1 0.0000 0.5000 0.5000
Hg2 0.5000 0.0000 0.5000
Hg3 0.5000 0.5000 0.0000